# 1
Density functional theory data (GGA-PBEsol) for an optimized crystal structure of BaCa2Al2.

The structure in POSCAR format:
```
BaCa2Al2
1.0
9.325 0.000 0.000
0.000 9.325 0.000
0.000 0.000 3.397
Ba Ca Al
2 4 4
direct
0.000 0.000 0.000
0.500 0.500 0.000
0.127 0.373 0.000
0.373 0.873 0.000
0.627 0.127 0.000
0.873 0.627 0.000
0.170 0.670 0.500
0.330 0.170 0.500
0.670 0.830 0.500
0.830 0.330 0.500
```

Computed properties:
* DFT formation energy: -0.12 eV/atom
* total energy: -3.04 eV per atom
* theoretical density: 3.05 g/cm3
* calculated volume: 295 Å³ per cell
* energy above the lowest structure with this stoichiometry: 0 meV/atom

***

# 2
Density functional theory data (GGA-PBEsol) for an optimized crystal structure of BaCa2Al2.

The structure in POSCAR format:
```
BaCa2Al2
1.0
5.523 0.000 0.000
0.000 5.523 0.000
0.000 0.000 11.682
Ba Ca Al
2 4 4
direct
0.000 0.000 0.000
0.500 0.500 0.500
0.000 0.000 0.349
0.000 0.000 0.651
0.500 0.500 0.151
0.500 0.500 0.849
0.000 0.500 0.250
0.000 0.500 0.750
0.500 0.000 0.250
0.500 0.000 0.750
```

Computed properties:
* DFT formation energy: 0.14 eV/atom
* total energy: -2.78 eV per atom
* theoretical density: 2.53 g/cm3
* calculated volume: 356 Å³ per cell
* energy above the lowest structure with this stoichiometry: 258 meV/atom